Record 1
# PBE Zn3FeNi12, optimized geometry
# Total magnetic moment ... 0.51 μB/atom
# DOS at the Fermi energy ... 0.88 states/eV/atom
# E ... -83.425 eV per cell
# Energy relative to the elements ... -0.1103 eV per atom
data_Zn3FeNi12
_cell_length_a 3.572
_cell_length_b 3.572
_cell_length_c 14.226
_cell_angle_alpha 90.00
_cell_angle_beta 90.00
_cell_angle_gamma 90.00
_symmetry_space_group_name_H-M 'P 4/m m m'
_symmetry_Int_Tables_number 123
_symmetry_space_group_name_Hall '-P 4 2'
loop_
_atom_site_label
_atom_site_type_symbol
_atom_site_fract_x
_atom_site_fract_y
_atom_site_fract_z
Zn1 Zn 0.000 0.000 0.000
Zn2 Zn 0.000 0.000 0.251
Fe1 Fe 0.000 0.000 0.500
Ni1 Ni 0.000 0.500 0.126
Ni2 Ni 0.000 0.500 0.379
Ni3 Ni 0.500 0.500 0.000
Ni4 Ni 0.500 0.500 0.252
Ni5 Ni 0.500 0.500 0.500

Record 2
# PBE Re2NiOs, optimized geometry
# Relative energy among the computed polymorphs ... 761 meV per atom
# Total magnetic moment ... 0.00 μB/atom
# DOS at the Fermi energy ... 1.05 states/eV/atom
# E ... -156.378 eV per cell
# Energy relative to the elements ... 0.7032 eV per atom
data_Re2NiOs
_cell_length_a 3.736
_cell_length_b 3.736
_cell_length_c 17.578
_cell_angle_alpha 90.00
_cell_angle_beta 90.00
_cell_angle_gamma 90.00
_symmetry_space_group_name_H-M 'I -4 2 d'
_symmetry_Int_Tables_number 122
_symmetry_space_group_name_Hall 'I -4 2bw'
loop_
_atom_site_label
_atom_site_type_symbol
_atom_site_fract_x
_atom_site_fract_y
_atom_site_fract_z
Re1 Re 0.216 0.250 0.125
Ni1 Ni 0.000 0.000 0.000
Os1 Os 0.000 0.000 0.500

Record 3
# PBE BeCr2Mo, optimized geometry
# Total magnetic moment ... 0.51 μB/atom
# DOS at the Fermi energy ... 0.91 states/eV/atom
# E ... -32.716 eV per cell
# Energy relative to the elements ... 0.2719 eV per atom
data_BeCr2Mo
_cell_length_a 2.610
_cell_length_b 2.610
_cell_length_c 7.148
_cell_angle_alpha 90.00
_cell_angle_beta 90.00
_cell_angle_gamma 90.00
_symmetry_space_group_name_H-M 'P 4 m m'
_symmetry_Int_Tables_number 99
_symmetry_space_group_name_Hall 'P 4 -2'
loop_
_atom_site_label
_atom_site_type_symbol
_atom_site_fract_x
_atom_site_fract_y
_atom_site_fract_z
Be1 Be 0.000 0.000 0.000
Cr1 Cr 0.000 0.000 0.455
Cr2 Cr 0.500 0.500 0.213
Mo1 Mo 0.500 0.500 0.756

Record 4
# PBE TlIn2Os, optimized geometry
# Relative energy among the computed polymorphs ... 292 meV per atom
# Total magnetic moment ... 0.00 μB/atom
# DOS at the Fermi energy ... 0.55 states/eV/atom
# E ... -32.936 eV per cell
# Energy relative to the elements ... 0.6512 eV per atom
data_TlIn2Os
_cell_length_a 4.407
_cell_length_b 4.407
_cell_length_c 8.503
_cell_angle_alpha 90.00
_cell_angle_beta 90.00
_cell_angle_gamma 90.00
_symmetry_space_group_name_H-M 'I 4/m m m'
_symmetry_Int_Tables_number 139
_symmetry_space_group_name_Hall '-I 4 2'
loop_
_atom_site_label
_atom_site_type_symbol
_atom_site_fract_x
_atom_site_fract_y
_atom_site_fract_z
Tl1 Tl 0.000 0.000 0.000
In1 In 0.000 0.500 0.250
Os1 Os 0.000 0.000 0.500

Record 5
# PBE CsKHfF6, optimized geometry
# Total magnetic moment ... 0.00 μB/atom
# DOS at the Fermi energy ... 0.00 states/eV/atom
# E ... -109.024 eV per cell
data_CsKHfF6
_cell_length_a 6.5803
_cell_length_b 6.5803
_cell_length_c 10.9925
_cell_angle_alpha 90.00
_cell_angle_beta 90.00
_cell_angle_gamma 120.00
_symmetry_space_group_name_H-M 'P -3 1 c'
_symmetry_Int_Tables_number 163
_symmetry_space_group_name_Hall '-P 3 2c'
loop_
_atom_site_label
_atom_site_type_symbol
_atom_site_fract_x
_atom_site_fract_y
_atom_site_fract_z
Cs1 Cs 0.0000 0.0000 0.0000
K1 K 0.3333 0.6667 0.2500
Hf1 Hf 0.3333 0.6667 0.7500
F1 F 0.0740 0.4186 0.6476

Record 6
# PBE LaAu3F12, optimized geometry
# Total magnetic moment ... 0.00 μB/atom
# DOS at the Fermi energy ... 0.00 states/eV/atom
# E ... -398.131 eV per cell
data_LaAu3F12
_cell_length_a 10.7493
_cell_length_b 10.7493
_cell_length_c 16.7394
_cell_angle_alpha 90.00
_cell_angle_beta 90.00
_cell_angle_gamma 120.00
_symmetry_space_group_name_H-M 'R -3 c'
_symmetry_Int_Tables_number 167
_symmetry_space_group_name_Hall '-R 3 2"c'
loop_
_atom_site_label
_atom_site_type_symbol
_atom_site_fract_x
_atom_site_fract_y
_atom_site_fract_z
La1 La 0.0000 0.0000 0.2500
Au1 Au 0.0000 0.4107 0.2500
F1 F 0.0000 0.2257 0.2500
F2 F 0.0000 0.4091 0.7500
F3 F 0.0144 0.1638 0.8591

Record 7
# PBE Nd5TmSc2, optimized geometry
# Relative energy among the computed polymorphs ... 0 meV per atom
# Total magnetic moment ... 0.00 μB/atom
# DOS at the Fermi energy ... 1.67 states/eV/atom
# E ... -159.671 eV per cell
# Energy relative to the elements ... 0.1320 eV per atom
data_Nd5TmSc2
_cell_length_a 16.303
_cell_length_b 9.837
_cell_length_c 6.538
_cell_angle_alpha 90.00
_cell_angle_beta 100.25
_cell_angle_gamma 90.00
_symmetry_space_group_name_H-M 'C 1 2/c 1'
_symmetry_Int_Tables_number 15
_symmetry_space_group_name_Hall '-C 2yc'
loop_
_atom_site_label
_atom_site_type_symbol
_atom_site_fract_x
_atom_site_fract_y
_atom_site_fract_z
Nd1 Nd 0.000 0.062 0.250
Nd2 Nd 0.094 0.404 0.136
Nd3 Nd 0.202 0.088 0.020
Tm1 Tm 0.250 0.250 0.500
Sc1 Sc 0.079 0.255 0.644

Record 8
# PBE ZnInAs2, optimized geometry
# Total magnetic moment ... 0.00 μB/atom
# DOS at the Fermi energy ... 0.27 states/eV/atom
# E ... -26.220 eV per cell
# Energy relative to the elements ... 0.0504 eV per atom
data_ZnInAs2
_cell_length_a 7.745
_cell_length_b 3.649
_cell_length_c 6.856
_cell_angle_alpha 90.00
_cell_angle_beta 111.50
_cell_angle_gamma 90.00
_symmetry_space_group_name_H-M 'C 1 m 1'
_symmetry_Int_Tables_number 8
_symmetry_space_group_name_Hall 'C -2y'
loop_
_atom_site_label
_atom_site_type_symbol
_atom_site_fract_x
_atom_site_fract_y
_atom_site_fract_z
Zn1 Zn 0.000 0.000 0.000
In1 In 0.178 0.000 0.711
As1 As 0.266 0.500 0.173
As2 As 0.386 0.000 0.463

Record 9
# PBE EuAlZnCu, optimized geometry
# Total magnetic moment ... 1.71 μB/atom
# DOS at the Fermi energy ... 2.23 states/eV/atom
# E ... -80.463 eV per cell
# Energy relative to the elements ... -0.1822 eV per atom
data_EuAlZnCu
_cell_length_a 6.699
_cell_length_b 6.699
_cell_length_c 6.699
_cell_angle_alpha 90.00
_cell_angle_beta 90.00
_cell_angle_gamma 90.00
_symmetry_space_group_name_H-M 'F -4 3 m'
_symmetry_Int_Tables_number 216
_symmetry_space_group_name_Hall 'F -4 2 3'
loop_
_atom_site_label
_atom_site_type_symbol
_atom_site_fract_x
_atom_site_fract_y
_atom_site_fract_z
Eu1 Eu 0.000 0.000 0.000
Al1 Al 0.000 0.000 0.500
Zn1 Zn 0.250 0.250 0.750
Cu1 Cu 0.250 0.250 0.250

Record 10
# PBE EuTmTlHg, optimized geometry
# Total magnetic moment ... 1.78 μB/atom
# DOS at the Fermi energy ... 1.75 states/eV/atom
# E ... -76.293 eV per cell
# Energy relative to the elements ... -0.4148 eV per atom
data_EuTmTlHg
_cell_length_a 7.642
_cell_length_b 7.642
_cell_length_c 7.642
_cell_angle_alpha 90.00
_cell_angle_beta 90.00
_cell_angle_gamma 90.00
_symmetry_space_group_name_H-M 'F -4 3 m'
_symmetry_Int_Tables_number 216
_symmetry_space_group_name_Hall 'F -4 2 3'
loop_
_atom_site_label
_atom_site_type_symbol
_atom_site_fract_x
_atom_site_fract_y
_atom_site_fract_z
Eu1 Eu 0.000 0.000 0.000
Tm1 Tm 0.000 0.000 0.500
Tl1 Tl 0.250 0.250 0.250
Hg1 Hg 0.250 0.250 0.750